# 1
Ta2CoSCl: relaxed, GGA-PBE.

Properties
- Space-group type: P4/mmm
- Energy: -0.481 Ry/atom
- V: 91.3 Å³ per cell

abc: 4.7281 4.7281 4.0839
angles: 90.00 90.00 90.00
Fractional coordinates of all 5 atoms:
1 Ta 0.0000 0.5000 0.0000
2 Ta 0.5000 0.0000 0.0000
3 Co 0.0000 0.0000 0.0000
4 S 0.0000 0.0000 0.5000
5 Cl 0.5000 0.5000 0.5000

---

# 2
RhPb2Br: relaxed, GGA-PBE.

Properties
- Space-group type: Immm
- Energy: -0.290 Ry/atom
- Polymorph energy (0 for the lowest one): 0.333 eV per atom
- V: 103.7 Å³ per cell

abc: 5.6534 5.6534 5.6534
angles: 135.80 122.38 75.38
Fractional coordinates of all 4 atoms:
1 Rh 0.0000 0.0000 0.0000
2 Pb 0.2026 0.7026 0.5000
3 Pb 0.7974 0.2974 0.5000
4 Br 0.5000 0.5000 0.0000

---

# 3
LaAl2Os: relaxed, GGA-PBE.

Properties
- Space-group type: P4/mmm
- Energy: -0.460 Ry/atom
- Formation enthalpy at 0 K: -8.08 kcal/mol of atoms
- V: 76.5 Å³ per cell

abc: 3.1674 3.1674 7.6240
angles: 90.00 90.00 90.00
Fractional coordinates of all 4 atoms:
1 La 0.0000 0.0000 0.0000
2 Al 0.5000 0.5000 0.3227
3 Al 0.5000 0.5000 0.6773
4 Os 0.0000 0.0000 0.5000

---

# 4
Na2BePtAu: relaxed, GGA-PBE.

Properties
- Space-group type: P4/mmm
- Energy: -0.195 Ry/atom
- Formation enthalpy at 0 K: 11.30 kcal/mol of atoms
- V: 102.8 Å³ per cell

abc: 4.9075 4.9075 4.2698
angles: 90.00 90.00 90.00
Fractional coordinates of all 5 atoms:
1 Na 0.0000 0.5000 0.0000
2 Na 0.5000 0.0000 0.0000
3 Be 0.0000 0.0000 0.0000
4 Pt 0.5000 0.5000 0.5000
5 Au 0.0000 0.0000 0.5000